Version P
Compound: CrSi5
Source: Alexandria
Functional: PBE
Structure: relaxed

- Theoretical density: 3.96 g cm⁻³

Cell and atoms, written as CIF:
```
data_CrSi5
_cell_length_a 4.2117
_cell_length_b 3.0872
_cell_length_c 12.4125
_cell_angle_alpha 90.00
_cell_angle_beta 90.00
_cell_angle_gamma 90.00
_symmetry_space_group_name_H-M 'A m m 2'
_symmetry_Int_Tables_number 38
loop_
_symmetry_equiv_pos_as_xyz
'x,y,z'
'-x,-y,z'
'-x,y,z'
'x,-y,z'
'x,y+1/2,z+1/2'
'-x,-y+1/2,z+1/2'
'-x,y+1/2,z+1/2'
'x,-y+1/2,z+1/2'
loop_
_atom_site_label
_atom_site_type_symbol
_atom_site_fract_x
_atom_site_fract_y
_atom_site_fract_z
_atom_site_occupancy
Cr1 Cr 0.0000 0.0000 0.0000 1
Si1 Si 0.0000 0.0000 0.3459 1
Si2 Si 0.0000 0.0000 0.6639 1
Si3 Si 0.5000 0.0000 0.2349 1
Si4 Si 0.5000 0.0000 0.5549 1
Si5 Si 0.5000 0.0000 0.8963 1
```

=====

Version Q
Compound: CrSi5
Source: Alexandria
Functional: PBE
Structure: relaxed

- Theoretical density: 3.93 g cm⁻³

Cell and atoms, written as CIF:
```
data_CrSi5
_cell_length_a 9.2565
_cell_length_b 3.1095
_cell_length_c 6.2033
_cell_angle_alpha 90.00
_cell_angle_beta 114.26
_cell_angle_gamma 90.00
_symmetry_space_group_name_H-M 'C 1 m 1'
_symmetry_Int_Tables_number 8
loop_
_symmetry_equiv_pos_as_xyz
'x,y,z'
'x,-y,z'
'x+1/2,y+1/2,z'
'x+1/2,-y+1/2,z'
loop_
_atom_site_label
_atom_site_type_symbol
_atom_site_fract_x
_atom_site_fract_y
_atom_site_fract_z
_atom_site_occupancy
Cr1 Cr 0.0000 0.0000 0.0000 1
Si1 Si 0.0748 0.5000 0.7212 1
Si2 Si 0.1770 0.5000 0.3013 1
Si3 Si 0.2819 0.0000 0.0408 1
Si4 Si 0.3052 0.0000 0.6684 1
Si5 Si 0.4612 0.5000 0.3659 1
```

=====

Energy comparison, zero being the most stable, in meV/atom: version P 45; version Q 0.

=====

Version P
Compound: Cr4Si
Source: Alexandria
Functional: PBE
Structure: relaxed

- Theoretical density: 5.40 g cm⁻³

Cell and atoms, written as CIF:
```
data_Cr4Si
_cell_length_a 5.2563
_cell_length_b 5.2563
_cell_length_c 5.2563
_cell_angle_alpha 90.00
_cell_angle_beta 90.00
_cell_angle_gamma 90.00
_symmetry_space_group_name_H-M 'I m -3 m'
_symmetry_Int_Tables_number 229
_symmetry_space_group_name_Hall '-I 4 2 3'
loop_
_atom_site_label
_atom_site_type_symbol
_atom_site_fract_x
_atom_site_fract_y
_atom_site_fract_z
_atom_site_occupancy
Cr1 Cr 0.2500 0.2500 0.2500 1
Si1 Si 0.0000 0.0000 0.0000 1
```

=====

Version Q
Compound: Cr4Si
Source: Alexandria
Functional: PBE
Structure: relaxed

- Theoretical density: 4.67 g cm⁻³

Cell and atoms, written as CIF:
```
data_Cr4Si
_cell_length_a 4.3796
_cell_length_b 4.3796
_cell_length_c 4.3796
_cell_angle_alpha 90.00
_cell_angle_beta 90.00
_cell_angle_gamma 90.00
_symmetry_space_group_name_H-M 'P m -3 m'
_symmetry_Int_Tables_number 221
_symmetry_space_group_name_Hall '-P 4 2 3'
loop_
_atom_site_label
_atom_site_type_symbol
_atom_site_fract_x
_atom_site_fract_y
_atom_site_fract_z
_atom_site_occupancy
Cr1 Cr 0.0000 0.0000 0.0000 1
Cr2 Cr 0.0000 0.5000 0.5000 1
Si1 Si 0.5000 0.5000 0.5000 1
```

=====

Version R
Compound: Cr4Si
Source: Alexandria
Functional: PBE
Structure: relaxed

- Theoretical density: 5.84 g cm⁻³

Cell and atoms, written as CIF:
```
data_Cr4Si
_cell_length_a 3.7309
_cell_length_b 3.7309
_cell_length_c 9.6457
_cell_angle_alpha 90.00
_cell_angle_beta 90.00
_cell_angle_gamma 90.00
_symmetry_space_group_name_H-M 'I 4/m m m'
_symmetry_Int_Tables_number 139
_symmetry_space_group_name_Hall '-I 4 2'
loop_
_atom_site_label
_atom_site_type_symbol
_atom_site_fract_x
_atom_site_fract_y
_atom_site_fract_z
_atom_site_occupancy
Cr1 Cr 0.0000 0.0000 0.1135 1
Cr2 Cr 0.0000 0.5000 0.2500 1
Si1 Si 0.0000 0.0000 0.5000 1
```

=====

Energy comparison, zero being the most stable, in meV/atom: version P 479; version Q 390; version R 0.

=====

Version P
Compound: Cr3Si
Source: Alexandria
Functional: PBE
Structure: relaxed

- Theoretical density: 6.48 g cm⁻³

Cell and atoms, written as CIF:
```
data_Cr3Si
_cell_length_a 3.6133
_cell_length_b 3.6133
_cell_length_c 3.6133
_cell_angle_alpha 90.00
_cell_angle_beta 90.00
_cell_angle_gamma 90.00
_symmetry_space_group_name_H-M 'P m -3 m'
_symmetry_Int_Tables_number 221
_symmetry_space_group_name_Hall '-P 4 2 3'
loop_
_atom_site_label
_atom_site_type_symbol
_atom_site_fract_x
_atom_site_fract_y
_atom_site_fract_z
_atom_site_occupancy
Cr1 Cr 0.0000 0.0000 0.5000 1
Si1 Si 0.5000 0.5000 0.5000 1
```

=====

Version Q
Compound: Cr3Si
Source: Alexandria
Functional: PBE
Structure: relaxed

- Theoretical density: 6.47 g cm⁻³

Cell and atoms, written as CIF:
```
data_Cr3Si
_cell_length_a 5.7376
_cell_length_b 5.7376
_cell_length_c 5.7376
_cell_angle_alpha 90.00
_cell_angle_beta 90.00
_cell_angle_gamma 90.00
_symmetry_space_group_name_H-M 'F m -3 m'
_symmetry_Int_Tables_number 225
_symmetry_space_group_name_Hall '-F 4 2 3'
loop_
_atom_site_label
_atom_site_type_symbol
_atom_site_fract_x
_atom_site_fract_y
_atom_site_fract_z
_atom_site_occupancy
Cr1 Cr 0.0000 0.0000 0.0000 1
Cr2 Cr 0.2500 0.2500 0.2500 1
Si1 Si 0.0000 0.0000 0.5000 1
```

=====

Version R
Compound: Cr3Si
Source: Alexandria
Functional: PBE
Structure: relaxed

- Theoretical density: 6.43 g cm⁻³

Cell and atoms, written as CIF:
```
data_Cr3Si
_cell_length_a 2.9472
_cell_length_b 2.9472
_cell_length_c 5.4745
_cell_angle_alpha 90.00
_cell_angle_beta 90.00
_cell_angle_gamma 90.00
_symmetry_space_group_name_H-M 'P 4/m m m'
_symmetry_Int_Tables_number 123
_symmetry_space_group_name_Hall '-P 4 2'
loop_
_atom_site_label
_atom_site_type_symbol
_atom_site_fract_x
_atom_site_fract_y
_atom_site_fract_z
_atom_site_occupancy
Cr1 Cr 0.0000 0.0000 0.0000 1
Cr2 Cr 0.5000 0.5000 0.2493 1
Si1 Si 0.0000 0.0000 0.5000 1
```

=====

Version S
Compound: Cr3Si
Source: Alexandria
Functional: PBE
Structure: relaxed

- Theoretical density: 6.64 g cm⁻³

Cell and atoms, written as CIF:
```
data_Cr3Si
_cell_length_a 4.5149
_cell_length_b 4.5149
_cell_length_c 4.5149
_cell_angle_alpha 90.00
_cell_angle_beta 90.00
_cell_angle_gamma 90.00
_symmetry_space_group_name_H-M 'P m -3 n'
_symmetry_Int_Tables_number 223
_symmetry_space_group_name_Hall '-P 4n 2 3'
loop_
_atom_site_label
_atom_site_type_symbol
_atom_site_fract_x
_atom_site_fract_y
_atom_site_fract_z
_atom_site_occupancy
Cr1 Cr 0.0000 0.2500 0.5000 1
Si1 Si 0.0000 0.0000 0.0000 1
```

=====

Energy comparison, zero being the most stable, in meV/atom: version P 323; version Q 183; version R 250; version S 0.

=====

Version P
Compound: Cr3Si
Source: Alexandria
Functional: PBE
Structure: relaxed

- Theoretical density: 6.59 g cm⁻³

Cell and atoms, written as CIF:
```
data_Cr3Si
_cell_length_a 7.9707
_cell_length_b 7.9707
_cell_length_c 2.5295
_cell_angle_alpha 90.00
_cell_angle_beta 90.00
_cell_angle_gamma 120.00
_symmetry_space_group_name_H-M 'R -3 m'
_symmetry_Int_Tables_number 166
_symmetry_space_group_name_Hall '-R 3 2"'
loop_
_atom_site_label
_atom_site_type_symbol
_atom_site_fract_x
_atom_site_fract_y
_atom_site_fract_z
_atom_site_occupancy
Cr1 Cr 0.0000 0.5000 0.0000 1
Si1 Si 0.0000 0.0000 0.0000 1
```

=====

Version Q
Compound: Cr3Si
Source: Alexandria
Functional: PBE
Structure: relaxed

- Theoretical density: 6.45 g cm⁻³

Cell and atoms, written as CIF:
```
data_Cr3Si
_cell_length_a 5.6484
_cell_length_b 8.1574
_cell_length_c 4.1154
_cell_angle_alpha 90.00
_cell_angle_beta 90.00
_cell_angle_gamma 90.00
_symmetry_space_group_name_H-M 'C m c m'
_symmetry_Int_Tables_number 63
_symmetry_space_group_name_Hall '-C 2c 2'
loop_
_atom_site_label
_atom_site_type_symbol
_atom_site_fract_x
_atom_site_fract_y
_atom_site_fract_z
_atom_site_occupancy
Cr1 Cr 0.0000 0.1318 0.2500 1
Cr2 Cr 0.2504 0.1175 0.7500 1
Si1 Si 0.0000 0.3634 0.7500 1
```

=====

Energy comparison, zero being the most stable, in meV/atom: version P 73; version Q 0.

=====

Version P
Compound: Cr3Si
Source: Alexandria
Functional: PBE
Structure: relaxed

- Theoretical density: 6.39 g cm⁻³

Cell and atoms, written as CIF:
```
data_Cr3Si
_cell_length_a 2.5956
_cell_length_b 2.5956
_cell_length_c 24.6057
_cell_angle_alpha 90.00
_cell_angle_beta 90.00
_cell_angle_gamma 120.00
_symmetry_space_group_name_H-M 'R -3 m'
_symmetry_Int_Tables_number 166
_symmetry_space_group_name_Hall '-R 3 2"'
loop_
_atom_site_label
_atom_site_type_symbol
_atom_site_fract_x
_atom_site_fract_y
_atom_site_fract_z
_atom_site_occupancy
Cr1 Cr 0.0000 0.0000 0.0000 1
Cr2 Cr 0.0000 0.0000 0.2488 1
Si1 Si 0.0000 0.0000 0.5000 1
```

=====

Version Q
Compound: Cr3Si
Source: Alexandria
Functional: PBE
Structure: relaxed

- Theoretical density: 6.63 g cm⁻³

Cell and atoms, written as CIF:
```
data_Cr3Si
_cell_length_a 2.9325
_cell_length_b 3.9648
_cell_length_c 7.9363
_cell_angle_alpha 90.00
_cell_angle_beta 90.00
_cell_angle_gamma 90.00
_symmetry_space_group_name_H-M 'I m m m'
_symmetry_Int_Tables_number 71
_symmetry_space_group_name_Hall '-I 2 2'
loop_
_atom_site_label
_atom_site_type_symbol
_atom_site_fract_x
_atom_site_fract_y
_atom_site_fract_z
_atom_site_occupancy
Cr1 Cr 0.0000 0.0000 0.0000 1
Cr2 Cr 0.0000 0.5000 0.2586 1
Si1 Si 0.0000 0.0000 0.5000 1
```

=====

Energy comparison, zero being the most stable, in meV/atom: version P 412; version Q 0.